(1)
This record from the Alexandria database describes PrGaNi3 after structural relaxation. The functional is PBE.

## Properties
**DFT total energy**: -104.768 eV per cell
**Energy above the most stable polymorph in this dataset**: 0.000 eV per atom
**Crystal system**: hexagonal
**DFT formation energy**: -0.21 eV/atom
**Calculated volume**: 340 Å³ per cell

extended XYZ file:
```
20
Lattice="-0.2340 -4.1377 4.0418 5.0455 2.5528 -1.2401 -2.0912 8.1051 8.1764" Properties=species:S:1:pos:R:3 pbc="T T T"
Pr 2.7628 2.3489 2.5646
Pr -0.0426 4.1713 8.4134
Pr -1.0456 4.0525 4.0882
Pr 0.0000 0.0000 0.0000
Ga 1.2349 -0.7800 3.4187
Ga 1.9491 5.5027 5.7462
Ga 1.4854 7.3001 7.5594
Ga 0.7711 1.0174 5.2318
Ni -0.2466 6.2086 6.3417
Ni 0.0910 1.2589 2.9618
Ni -0.0489 -1.2143 5.3776
Ni 2.7691 7.7344 5.6004
Ni 2.6292 5.2612 8.0163
Ni 2.9669 0.3116 4.6364
Ni 1.3601 3.2601 5.4890
Ni -0.1170 -2.0688 2.0209
Ni 2.4057 -0.7925 1.4008
Ni -1.1626 1.9837 6.1091
Ni 1.4771 5.3289 3.4681
Ni 2.5227 1.2764 -0.6200
```

=====

(2)
This record from the Alexandria database describes TiCu2Ni2 after structural relaxation. The functional is PBE.

## Properties
**DFT total energy**: -57.466 eV per cell
**Energy above the most stable polymorph in this dataset**: 0.000 eV per atom
**Crystal system**: monoclinic
**DFT formation energy**: -0.22 eV/atom
**Calculated volume**: 123 Å³ per cell

extended XYZ file:
```
10
Lattice="3.1960 0.0000 0.0000 0.0000 5.6425 -1.0779 -1.5980 -2.9863 7.4012" Properties=species:S:1:pos:R:3 pbc="T T T"
Ti 0.0000 4.2319 -0.8084
Ti 3.1960 1.4106 -0.2695
Cu 0.0000 1.9163 2.4074
Cu 1.5980 3.5611 3.3770
Cu 1.5980 0.7399 3.9160
Cu 0.0000 -0.9050 2.9463
Ni 1.5980 0.2495 1.3141
Ni 1.5980 3.0708 0.7751
Ni 0.0000 2.4066 5.0093
Ni 0.0000 -0.4146 5.5482
```

=====

(3)
This record from the Alexandria database describes Pr10Dy6Ho after structural relaxation. The functional is PBE.

## Properties
**DFT total energy**: -77.853 eV per cell
**Crystal system**: trigonal
**DFT formation energy**: 0.13 eV/atom
**Calculated volume**: 591 Å³ per cell

extended XYZ file:
```
17
Lattice="6.9643 0.0000 0.0000 0.0000 8.5751 -4.9508 0.0000 0.0000 9.9016" Properties=species:S:1:pos:R:3 pbc="T T T"
Pr 5.6850 6.2237 3.5933
Pr 5.6850 0.0000 2.7151
Pr 5.6850 2.3513 -1.3575
Pr 1.2793 2.3513 1.3575
Pr 1.2793 0.0000 7.1865
Pr 1.2793 6.2237 -3.5933
Pr 3.4821 2.8583 4.9508
Pr 3.4821 5.7167 0.0000
Pr 0.0000 5.7167 0.0000
Pr 0.0000 2.8583 4.9508
Dy 4.7969 3.1606 1.8248
Dy 4.7969 0.0000 6.2521
Dy 4.7969 5.4145 -3.1260
Dy 2.1674 5.4145 3.1260
Dy 2.1674 0.0000 3.6495
Dy 2.1674 3.1606 -1.8248
Ho 3.4821 0.0000 0.0000
```

=====

Q: Which value of DFT formation energy does entry 1 give?
A: -0.21 eV/atom

=====

Q: Among the records above, which one has the lowest calculated volume?
A: TiCu2Ni2

=====

Q: Among the records above, which one has the lowest DFT total energy?
A: PrGaNi3

=====

Repeat the second record exactly.
This record from the Alexandria database describes TiCu2Ni2 after structural relaxation. The functional is PBE.

## Properties
**DFT total energy**: -57.466 eV per cell
**Energy above the most stable polymorph in this dataset**: 0.000 eV per atom
**Crystal system**: monoclinic
**DFT formation energy**: -0.22 eV/atom
**Calculated volume**: 123 Å³ per cell

extended XYZ file:
```
10
Lattice="3.1960 0.0000 0.0000 0.0000 5.6425 -1.0779 -1.5980 -2.9863 7.4012" Properties=species:S:1:pos:R:3 pbc="T T T"
Ti 0.0000 4.2319 -0.8084
Ti 3.1960 1.4106 -0.2695
Cu 0.0000 1.9163 2.4074
Cu 1.5980 3.5611 3.3770
Cu 1.5980 0.7399 3.9160
Cu 0.0000 -0.9050 2.9463
Ni 1.5980 0.2495 1.3141
Ni 1.5980 3.0708 0.7751
Ni 0.0000 2.4066 5.0093
Ni 0.0000 -0.4146 5.5482
```